First-principles (PBE-GGA) data for a geometry-optimized KTlCdBr6 structure, as listed in Alexandria via LeMat-Bulk.

abc: 7.238 7.238 7.320
angles: 90.00 90.00 60.00
Fractional coordinates of all 9 atoms:
Tl (0.333, 0.333, 0.500)
Br (0.629, 0.001, 0.277)
Br (0.629, 0.371, 0.723)
Br (0.001, 0.370, 0.277)
Br (0.001, 0.629, 0.723)
Br (0.370, 0.001, 0.723)
Br (0.370, 0.629, 0.277)
K (0.000, 0.000, 0.000)
Cd (0.667, 0.667, 0.500)

ΔE_f (raw) (eV per atom): -0.8852
Total magnetization (μB/atom): 0.0000

---

First-principles (PBE-GGA) data for a geometry-optimized KTl2CdBr6 structure, as listed in Alexandria via LeMat-Bulk.

abc: 7.699 7.699 8.530
angles: 63.16 63.15 59.96
Fractional coordinates of all 10 atoms:
K (0.813, 0.813, 0.561)
Br (0.213, 0.974, 0.234)
Br (0.974, 0.579, 0.234)
Br (0.130, 0.385, 0.775)
Br (0.578, 0.214, 0.234)
Br (0.385, 0.710, 0.774)
Br (0.710, 0.129, 0.775)
Tl (0.007, 0.007, 0.980)
Tl (0.523, 0.523, 0.431)
Cd (0.327, 0.327, 0.018)

ΔE_f (raw) (eV per atom): -0.9175
Total magnetization (μB/atom): 0.0000

---

First-principles (PBE-GGA) data for a geometry-optimized K2TlCdBr6 structure, as listed in Alexandria via LeMat-Bulk.

abc: 7.706 8.093 11.087
angles: 90.00 90.01 90.00
Fractional coordinates of all 20 atoms:
Br (0.205, 0.189, 0.449)
Br (0.312, 0.708, 0.445)
Br (0.812, 0.792, 0.945)
Br (0.894, 0.526, 0.241)
Br (0.394, 0.974, 0.741)
Br (0.606, 0.026, 0.259)
Br (0.705, 0.311, 0.949)
Br (0.795, 0.811, 0.551)
Br (0.295, 0.689, 0.051)
Br (0.106, 0.474, 0.759)
Br (0.688, 0.292, 0.555)
Br (0.188, 0.208, 0.055)
K (0.527, 0.578, 0.749)
K (0.973, 0.078, 0.751)
K (0.473, 0.422, 0.251)
K (0.027, 0.922, 0.249)
Cd (0.500, 0.000, 0.500)
Cd (0.000, 0.500, 0.000)
Tl (0.500, 0.000, 0.000)
Tl (0.000, 0.500, 0.500)

ΔE_f (raw) (eV per atom): -1.1116
Total magnetization (μB/atom): 0.0000

---

First-principles (PBE-GGA) data for a geometry-optimized K2Tl2CdBr6 structure, as listed in Alexandria via LeMat-Bulk.

abc: 7.867 7.867 7.991
angles: 100.10 100.10 117.07
Fractional coordinates of all 11 atoms:
Cd (0.000, 0.000, 0.500)
Tl (0.822, 0.178, 0.000)
Tl (0.178, 0.822, 0.000)
Br (0.203, 0.203, 0.275)
Br (0.071, 0.368, 0.721)
Br (0.929, 0.632, 0.279)
Br (0.632, 0.929, 0.279)
Br (0.368, 0.071, 0.721)
Br (0.797, 0.797, 0.725)
K (0.338, 0.662, 0.500)
K (0.662, 0.338, 0.500)

ΔE_f (raw) (eV per atom): -1.1719
Total magnetization (μB/atom): 0.0000

---

First-principles (PBE-GGA) data for a geometry-optimized K2VCdBr6 structure, as listed in Alexandria via LeMat-Bulk.

abc: 7.416 7.664 10.629
angles: 90.00 89.88 90.00
Fractional coordinates of all 20 atoms:
Br (0.411, 0.990, 0.758)
Br (0.794, 0.809, 0.957)
Br (0.911, 0.510, 0.258)
Br (0.313, 0.708, 0.043)
Br (0.813, 0.792, 0.543)
Br (0.294, 0.691, 0.457)
Br (0.589, 0.010, 0.242)
Br (0.706, 0.309, 0.543)
Br (0.187, 0.208, 0.457)
Br (0.687, 0.292, 0.957)
Br (0.089, 0.490, 0.742)
Br (0.206, 0.191, 0.043)
V (0.500, 0.000, 0.000)
V (0.000, 0.500, 0.500)
K (0.976, 0.074, 0.749)
K (0.476, 0.426, 0.249)
K (0.024, 0.926, 0.251)
K (0.524, 0.574, 0.751)
Cd (0.000, 0.500, 0.000)
Cd (0.500, 0.000, 0.500)

ΔE_f (raw) (eV per atom): -1.1628
Total magnetization (μB/atom): 0.3000

---

First-principles (PBE-GGA) data for a geometry-optimized KYCdBr6 structure, as listed in Alexandria via LeMat-Bulk.

abc: 7.290 7.290 14.586
angles: 90.00 90.00 120.00
Fractional coordinates of all 18 atoms:
Y (0.667, 0.333, 0.250)
Y (0.333, 0.667, 0.750)
Br (0.371, 0.000, 0.638)
Br (0.000, 0.629, 0.362)
Br (0.000, 0.371, 0.138)
Br (0.371, 0.000, 0.138)
Br (0.000, 0.629, 0.862)
Br (0.629, 0.629, 0.138)
Br (0.371, 0.371, 0.862)
Br (0.000, 0.371, 0.638)
Br (0.629, 0.000, 0.362)
Br (0.371, 0.371, 0.362)
Br (0.629, 0.629, 0.638)
Br (0.629, 0.000, 0.862)
Cd (0.333, 0.667, 0.250)
Cd (0.667, 0.333, 0.750)
K (0.000, 0.000, 0.500)
K (0.000, 0.000, 0.000)

ΔE_f (raw) (eV per atom): -1.5200
Total magnetization (μB/atom): 0.0000

---

First-principles (PBE-GGA) data for a geometry-optimized KZnCdBr5 structure, as listed in Alexandria via LeMat-Bulk.

abc: 7.786 7.786 9.934
angles: 103.75 103.75 105.76
Fractional coordinates of all 16 atoms:
Cd (0.000, 0.000, 0.500)
Cd (0.000, 0.000, 0.000)
K (0.649, 0.351, 0.750)
K (0.351, 0.649, 0.250)
Zn (0.314, 0.686, 0.750)
Zn (0.686, 0.314, 0.250)
Br (0.328, 0.914, 0.617)
Br (0.086, 0.672, 0.883)
Br (0.086, 0.914, 0.250)
Br (0.751, 0.613, 0.439)
Br (0.613, 0.751, 0.939)
Br (0.914, 0.328, 0.117)
Br (0.672, 0.086, 0.383)
Br (0.914, 0.086, 0.750)
Br (0.387, 0.249, 0.061)
Br (0.249, 0.387, 0.561)

ΔE_f (raw) (eV per atom): -1.0806
Total magnetization (μB/atom): 0.0000

---

First-principles (PBE-GGA) data for a geometry-optimized KZrCd2Br structure, as listed in Alexandria via LeMat-Bulk.

abc: 5.973 5.597 5.973
angles: 90.00 90.00 90.00
Fractional coordinates of all 5 atoms:
Zr (0.500, 0.500, 0.500)
Cd (0.500, 0.000, 0.000)
Cd (0.000, 0.000, 0.500)
K (0.000, 0.000, 0.000)
Br (0.000, 0.500, 0.000)

ΔE_f (raw) (eV per atom): 0.7670
Total magnetization (μB/atom): 0.5684

---

First-principles (PBE-GGA) data for a geometry-optimized LaCdBr2 structure, as listed in Alexandria via LeMat-Bulk.

abc: 3.716 3.716 9.825
angles: 90.00 90.00 89.99
Fractional coordinates of all 4 atoms:
La (0.500, 0.500, 0.750)
Br (0.000, 0.000, 0.572)
Br (0.000, 0.000, 0.928)
Cd (0.500, 0.500, 0.250)

ΔE_f (raw) (eV per atom): -1.1995
Relative energy among the computed polymorphs (meV/atom): 0
Total magnetization (μB/atom): 0.0000

---

First-principles (PBE-GGA) data for a geometry-optimized La6CdBr8 structure, as listed in Alexandria via LeMat-Bulk.

abc: 7.398 7.398 11.987
angles: 72.03 72.03 60.00
Fractional coordinates of all 15 atoms:
Br (0.785, 0.435, 0.670)
Br (0.110, 0.785, 0.670)
Br (0.435, 0.110, 0.670)
Br (0.565, 0.890, 0.330)
Br (0.333, 0.333, 0.000)
Br (0.215, 0.565, 0.330)
Br (0.890, 0.215, 0.330)
Br (0.667, 0.667, 0.000)
La (0.716, 0.055, 0.835)
La (0.606, 0.284, 0.165)
La (0.284, 0.945, 0.165)
La (0.394, 0.716, 0.835)
La (0.055, 0.394, 0.835)
La (0.945, 0.606, 0.165)
Cd (0.000, 0.000, 0.000)

ΔE_f (raw) (eV per atom): -1.4451
Total magnetization (μB/atom): 0.0000

---

First-principles (PBE-GGA) data for a geometry-optimized La2CdBr structure, as listed in Alexandria via LeMat-Bulk.

abc: 5.516 5.516 5.516
angles: 60.00 60.00 60.00
Fractional coordinates of all 4 atoms:
Br (0.500, 0.500, 0.500)
La (0.250, 0.250, 0.250)
La (0.000, 0.000, 0.000)
Cd (0.750, 0.750, 0.750)

ΔE_f (raw) (eV per atom): -0.1091
Relative energy among the computed polymorphs (meV/atom): 652
Total magnetization (μB/atom): 0.0012

---

First-principles (PBE-GGA) data for a geometry-optimized LaCdBr2 structure, as listed in Alexandria via LeMat-Bulk.

abc: 11.234 11.234 11.234
angles: 20.80 20.80 20.80
Fractional coordinates of all 4 atoms:
La (0.750, 0.750, 0.750)
Br (0.025, 0.025, 0.025)
Br (0.475, 0.475, 0.475)
Cd (0.250, 0.250, 0.250)

ΔE_f (raw) (eV per atom): -1.1555
Relative energy among the computed polymorphs (meV/atom): 44
Total magnetization (μB/atom): 0.0000